The following is a PBE with a Hubbard U calculation of an optimized crystal structure of YV2BiO8, from the Alexandria database.

Cell lengths 6.092, 6.092, 6.092 Å; angles 106.19, 106.19, 116.26 degrees
Fractional positions:
Y (0.250, 0.750, 0.500)
V (0.750, 0.250, 0.500)
V (0.500, 0.500, 0.000)
Bi (0.000, 0.000, 0.000)
O (0.927, 0.607, 0.680)
O (0.485, 0.671, 0.814)
O (0.856, 0.671, 0.186)
O (0.927, 0.247, 0.320)
O (0.329, 0.144, 0.814)
O (0.753, 0.073, 0.680)
O (0.393, 0.073, 0.320)
O (0.329, 0.515, 0.186)

- Fermi-level density of states: 0.00 states/eV/cell
- Symmetry: I-4m2, No. 119
- Relative energy among the computed polymorphs: 0 meV/atom
- Calculated total energy: -0.5594 Ry/atom
- Crystal system: tetragonal